Arrangement one

The following is a DFT calculation (PBE) of an optimized crystal structure of TcIrN2F.

Geometry as CIF:
```
data_TcIrN2F
_chemical_formula_sum 'Tc1 Ir1 N2 F1'
_space_group_name_H-M_alt 'P 4/m m m'
_space_group_IT_number 123
_space_group_name_Hall '-P 4 2'
_cell_length_a 3.9092
_cell_length_b 3.9092
_cell_length_c 3.9672
_cell_angle_alpha 90.00
_cell_angle_beta 90.00
_cell_angle_gamma 90.00
loop_
_atom_site_label
_atom_site_type_symbol
_atom_site_fract_x
_atom_site_fract_y
_atom_site_fract_z
Tc1 Tc 0.0000 0.0000 0.0000
Ir1 Ir 0.5000 0.5000 0.5000
N1 N 0.0000 0.5000 0.0000
F1 F 0.0000 0.0000 0.5000
```

Properties
D(E_F)	6.3	states/eV/cell

Arrangement two

The following is a DFT calculation (PBE) of an optimized crystal structure of TcIrN2F.

Geometry as CIF:
```
data_TcIrN2F
_chemical_formula_sum 'Tc1 Ir1 N2 F1'
_space_group_name_H-M_alt 'P 4/m m m'
_space_group_IT_number 123
_space_group_name_Hall '-P 4 2'
_cell_length_a 3.7219
_cell_length_b 3.7219
_cell_length_c 5.4501
_cell_angle_alpha 90.00
_cell_angle_beta 90.00
_cell_angle_gamma 90.00
loop_
_atom_site_label
_atom_site_type_symbol
_atom_site_fract_x
_atom_site_fract_y
_atom_site_fract_z
Tc1 Tc 0.0000 0.0000 0.0000
Ir1 Ir 0.5000 0.5000 0.5000
N1 N 0.0000 0.5000 0.5000
F1 F 0.5000 0.5000 0.0000
```

Properties
D(E_F)	1.5	states/eV/cell

The most stable of them is arrangement one.

Arrangement one

The following is a DFT calculation (PBE) of an optimized crystal structure of TeIrNF2.

Geometry as CIF:
```
data_TeIrNF2
_chemical_formula_sum 'Te1 Ir1 N1 F2'
_space_group_name_H-M_alt 'P 4/m m m'
_space_group_IT_number 123
_space_group_name_Hall '-P 4 2'
_cell_length_a 4.3469
_cell_length_b 4.3469
_cell_length_c 4.2578
_cell_angle_alpha 90.00
_cell_angle_beta 90.00
_cell_angle_gamma 90.00
loop_
_atom_site_label
_atom_site_type_symbol
_atom_site_fract_x
_atom_site_fract_y
_atom_site_fract_z
Te1 Te 0.0000 0.0000 0.0000
Ir1 Ir 0.5000 0.5000 0.5000
N1 N 0.0000 0.0000 0.5000
F1 F 0.0000 0.5000 0.0000
```

Properties
D(E_F)	4.7	states/eV/cell

Arrangement two

The following is a DFT calculation (PBE) of an optimized crystal structure of TeIrNF2.

Geometry as CIF:
```
data_TeIrNF2
_chemical_formula_sum 'Te1 Ir1 N1 F2'
_space_group_name_H-M_alt 'P 4/m m m'
_space_group_IT_number 123
_space_group_name_Hall '-P 4 2'
_cell_length_a 4.5800
_cell_length_b 4.5800
_cell_length_c 3.6965
_cell_angle_alpha 90.00
_cell_angle_beta 90.00
_cell_angle_gamma 90.00
loop_
_atom_site_label
_atom_site_type_symbol
_atom_site_fract_x
_atom_site_fract_y
_atom_site_fract_z
Te1 Te 0.0000 0.0000 0.0000
Ir1 Ir 0.5000 0.5000 0.5000
N1 N 0.5000 0.5000 0.0000
F1 F 0.0000 0.5000 0.5000
```

Properties
D(E_F)	2.0	states/eV/cell

The most stable of them is arrangement two.

Arrangement one

The following is a DFT calculation (PBE) of an optimized crystal structure of TiIrNF2.

Geometry as CIF:
```
data_TiIrNF2
_chemical_formula_sum 'Ti1 Ir1 N1 F2'
_space_group_name_H-M_alt 'P 4/m m m'
_space_group_IT_number 123
_space_group_name_Hall '-P 4 2'
_cell_length_a 4.5068
_cell_length_b 4.5068
_cell_length_c 3.6772
_cell_angle_alpha 90.00
_cell_angle_beta 90.00
_cell_angle_gamma 90.00
loop_
_atom_site_label
_atom_site_type_symbol
_atom_site_fract_x
_atom_site_fract_y
_atom_site_fract_z
Ti1 Ti 0.0000 0.0000 0.0000
Ir1 Ir 0.5000 0.5000 0.5000
N1 N 0.5000 0.5000 0.0000
F1 F 0.0000 0.5000 0.5000
```

Properties
D(E_F)	3.5	states/eV/cell

Arrangement two

The following is a DFT calculation (PBE) of an optimized crystal structure of TiIrNF2.

Geometry as CIF:
```
data_TiIrNF2
_chemical_formula_sum 'Ti1 Ir1 N1 F2'
_space_group_name_H-M_alt 'P 4/m m m'
_space_group_IT_number 123
_space_group_name_Hall '-P 4 2'
_cell_length_a 3.8365
_cell_length_b 3.8365
_cell_length_c 4.1873
_cell_angle_alpha 90.00
_cell_angle_beta 90.00
_cell_angle_gamma 90.00
loop_
_atom_site_label
_atom_site_type_symbol
_atom_site_fract_x
_atom_site_fract_y
_atom_site_fract_z
Ti1 Ti 0.0000 0.0000 0.0000
Ir1 Ir 0.5000 0.5000 0.5000
N1 N 0.0000 0.0000 0.5000
F1 F 0.0000 0.5000 0.0000
```

Properties
D(E_F)	4.7	states/eV/cell

The most stable of them is arrangement two.

Arrangement one

The following is a DFT calculation (PBE) of an optimized crystal structure of TlIrNF2.

Geometry as CIF:
```
data_TlIrNF2
_chemical_formula_sum 'Tl1 Ir1 N1 F2'
_space_group_name_H-M_alt 'P 4/m m m'
_space_group_IT_number 123
_space_group_name_Hall '-P 4 2'
_cell_length_a 4.3424
_cell_length_b 4.3424
_cell_length_c 4.4657
_cell_angle_alpha 90.00
_cell_angle_beta 90.00
_cell_angle_gamma 90.00
loop_
_atom_site_label
_atom_site_type_symbol
_atom_site_fract_x
_atom_site_fract_y
_atom_site_fract_z
Tl1 Tl 0.0000 0.0000 0.0000
Ir1 Ir 0.5000 0.5000 0.5000
N1 N 0.0000 0.0000 0.5000
F1 F 0.0000 0.5000 0.0000
```

Properties
D(E_F)	5.2	states/eV/cell

Arrangement two

The following is a DFT calculation (PBE) of an optimized crystal structure of TlIrNF2.

Geometry as CIF:
```
data_TlIrNF2
_chemical_formula_sum 'Tl1 Ir1 N1 F2'
_space_group_name_H-M_alt 'P 4/m m m'
_space_group_IT_number 123
_space_group_name_Hall '-P 4 2'
_cell_length_a 4.5870
_cell_length_b 4.5870
_cell_length_c 3.7134
_cell_angle_alpha 90.00
_cell_angle_beta 90.00
_cell_angle_gamma 90.00
loop_
_atom_site_label
_atom_site_type_symbol
_atom_site_fract_x
_atom_site_fract_y
_atom_site_fract_z
Tl1 Tl 0.0000 0.0000 0.0000
Ir1 Ir 0.5000 0.5000 0.5000
N1 N 0.5000 0.5000 0.0000
F1 F 0.0000 0.5000 0.5000
```

Properties
D(E_F)	2.0	states/eV/cell

The most stable of them is arrangement two.

Arrangement one

The following is a DFT calculation (PBE) of an optimized crystal structure of ZrIrN2F.

Geometry as CIF:
```
data_ZrIrN2F
_chemical_formula_sum 'Zr1 Ir1 N2 F1'
_space_group_name_H-M_alt 'P 4/m m m'
_space_group_IT_number 123
_space_group_name_Hall '-P 4 2'
_cell_length_a 4.2770
_cell_length_b 4.2770
_cell_length_c 3.9620
_cell_angle_alpha 90.00
_cell_angle_beta 90.00
_cell_angle_gamma 90.00
loop_
_atom_site_label
_atom_site_type_symbol
_atom_site_fract_x
_atom_site_fract_y
_atom_site_fract_z
Zr1 Zr 0.0000 0.0000 0.0000
Ir1 Ir 0.5000 0.5000 0.5000
N1 N 0.0000 0.5000 0.0000
F1 F 0.0000 0.0000 0.5000
```

Properties
D(E_F)	6.5	states/eV/cell

Arrangement two

The following is a DFT calculation (PBE) of an optimized crystal structure of ZrIrN2F.

Geometry as CIF:
```
data_ZrIrN2F
_chemical_formula_sum 'Zr1 Ir1 N2 F1'
_space_group_name_H-M_alt 'P 4/m m m'
_space_group_IT_number 123
_space_group_name_Hall '-P 4 2'
_cell_length_a 3.9144
_cell_length_b 3.9144
_cell_length_c 4.1313
_cell_angle_alpha 90.00
_cell_angle_beta 90.00
_cell_angle_gamma 90.00
loop_
_atom_site_label
_atom_site_type_symbol
_atom_site_fract_x
_atom_site_fract_y
_atom_site_fract_z
Zr1 Zr 0.0000 0.0000 0.0000
Ir1 Ir 0.5000 0.5000 0.5000
N1 N 0.0000 0.5000 0.5000
F1 F 0.5000 0.5000 0.0000
```

Properties
D(E_F)	4.1	states/eV/cell

The most stable of them is arrangement two.

Arrangement one

The following is a DFT calculation (PBE) of an optimized crystal structure of NaIrOF2.

Geometry as CIF:
```
data_NaIrOF2
_chemical_formula_sum 'Na1 Ir1 O1 F2'
_space_group_name_H-M_alt 'P 4/m m m'
_space_group_IT_number 123
_space_group_name_Hall '-P 4 2'
_cell_length_a 4.3982
_cell_length_b 4.3982
_cell_length_c 3.7745
_cell_angle_alpha 90.00
_cell_angle_beta 90.00
_cell_angle_gamma 90.00
loop_
_atom_site_label
_atom_site_type_symbol
_atom_site_fract_x
_atom_site_fract_y
_atom_site_fract_z
Na1 Na 0.0000 0.0000 0.0000
Ir1 Ir 0.5000 0.5000 0.5000
O1 O 0.5000 0.5000 0.0000
F1 F 0.0000 0.5000 0.5000
```

Properties
D(E_F)	2.4	states/eV/cell

Arrangement two

The following is a DFT calculation (PBE) of an optimized crystal structure of NaIrOF2.

Geometry as CIF:
```
data_NaIrOF2
_chemical_formula_sum 'Na1 Ir1 O1 F2'
_space_group_name_H-M_alt 'P 4/m m m'
_space_group_IT_number 123
_space_group_name_Hall '-P 4 2'
_cell_length_a 3.8850
_cell_length_b 3.8850
_cell_length_c 4.2998
_cell_angle_alpha 90.00
_cell_angle_beta 90.00
_cell_angle_gamma 90.00
loop_
_atom_site_label
_atom_site_type_symbol
_atom_site_fract_x
_atom_site_fract_y
_atom_site_fract_z
Na1 Na 0.0000 0.0000 0.0000
Ir1 Ir 0.5000 0.5000 0.5000
O1 O 0.0000 0.0000 0.5000
F1 F 0.0000 0.5000 0.0000
```

Properties
D(E_F)	3.9	states/eV/cell

The most stable of them is arrangement one.

Arrangement one

The following is a DFT calculation (PBE) of an optimized crystal structure of NbIrF2.

Geometry as CIF:
```
data_NbIrF2
_chemical_formula_sum 'Nb4 Ir4 F8'
_space_group_name_H-M_alt 'I -4 2 d'
_space_group_IT_number 122
_space_group_name_Hall 'I -4 2bw'
_cell_length_a 3.7450
_cell_length_b 3.7450
_cell_length_c 15.8085
_cell_angle_alpha 90.00
_cell_angle_beta 90.00
_cell_angle_gamma 90.00
loop_
_atom_site_label
_atom_site_type_symbol
_atom_site_fract_x
_atom_site_fract_y
_atom_site_fract_z
Nb1 Nb 0.0000 0.0000 0.0000
Ir1 Ir 0.0000 0.0000 0.5000
F1 F 0.1926 0.2500 0.1250
```

Properties
D(E_F)	9.3	states/eV/cell

Arrangement two

The following is a DFT calculation (PBE) of an optimized crystal structure of NbIrF2.

Geometry as CIF:
```
data_NbIrF2
_chemical_formula_sum 'Nb4 Ir4 F8'
_space_group_name_H-M_alt 'F m -3 m'
_space_group_IT_number 225
_space_group_name_Hall '-F 4 2 3'
_cell_length_a 5.9244
_cell_length_b 5.9244
_cell_length_c 5.9244
_cell_angle_alpha 90.00
_cell_angle_beta 90.00
_cell_angle_gamma 90.00
loop_
_atom_site_label
_atom_site_type_symbol
_atom_site_fract_x
_atom_site_fract_y
_atom_site_fract_z
Nb1 Nb 0.0000 0.0000 0.0000
Ir1 Ir 0.0000 0.0000 0.5000
F1 F 0.2500 0.2500 0.2500
```

Properties
D(E_F)	14.8	states/eV/cell

Arrangement three

The following is a DFT calculation (PBE) of an optimized crystal structure of NbIrF2.

Geometry as CIF:
```
data_NbIrF2
_chemical_formula_sum 'Nb3 Ir3 F6'
_space_group_name_H-M_alt 'R -3 m'
_space_group_IT_number 166
_space_group_name_Hall '-R 3 2"'
_cell_length_a 2.7319
_cell_length_b 2.7319
_cell_length_c 31.4964
_cell_angle_alpha 90.00
_cell_angle_beta 90.00
_cell_angle_gamma 120.00
loop_
_atom_site_label
_atom_site_type_symbol
_atom_site_fract_x
_atom_site_fract_y
_atom_site_fract_z
Nb1 Nb 0.0000 0.0000 0.0000
Ir1 Ir 0.0000 0.0000 0.5000
F1 F 0.0000 0.0000 0.3820
```

Properties
D(E_F)	13.2	states/eV/cell

The most stable of them is arrangement three.

Arrangement one

The following is a DFT calculation (PBE) of an optimized crystal structure of Nd2IrF.

Geometry as CIF:
```
data_Nd2IrF
_chemical_formula_sum 'Nd6 Ir3 F3'
_space_group_name_H-M_alt 'R -3 m'
_space_group_IT_number 166
_space_group_name_Hall '-R 3 2"'
_cell_length_a 4.2705
_cell_length_b 4.2705
_cell_length_c 22.7115
_cell_angle_alpha 90.00
_cell_angle_beta 90.00
_cell_angle_gamma 120.00
loop_
_atom_site_label
_atom_site_type_symbol
_atom_site_fract_x
_atom_site_fract_y
_atom_site_fract_z
Nd1 Nd 0.0000 0.0000 0.1020
Ir1 Ir 0.0000 0.0000 0.5000
F1 F 0.0000 0.0000 0.0000
```

Properties
D(E_F)	5.6	states/eV/cell

Arrangement two

The following is a DFT calculation (PBE) of an optimized crystal structure of Nd2IrF.

Geometry as CIF:
```
data_Nd2IrF
_chemical_formula_sum 'Nd6 Ir3 F3'
_space_group_name_H-M_alt 'R 3 m'
_space_group_IT_number 160
_space_group_name_Hall 'R 3 -2"'
_cell_length_a 4.0503
_cell_length_b 4.0503
_cell_length_c 23.8315
_cell_angle_alpha 90.00
_cell_angle_beta 90.00
_cell_angle_gamma 120.00
loop_
_atom_site_label
_atom_site_type_symbol
_atom_site_fract_x
_atom_site_fract_y
_atom_site_fract_z
Nd1 Nd 0.0000 0.0000 0.0000
Nd2 Nd 0.0000 0.0000 0.1982
Ir1 Ir 0.0000 0.0000 0.6043
F1 F 0.0000 0.0000 0.8177
```

Properties
D(E_F)	3.7	states/eV/cell

The most stable of them is arrangement one.